## Tb4Ir3 (GGA-PBE)

Data for crystalline Tb4Ir3 at its relaxed geometry.

```
data_Tb4Ir3
_space_group_name_H-M_alt 'P 1'
_space_group_IT_number 1
_space_group_name_Hall 'P 1'
_cell_length_a 8.4117
_cell_length_b 8.4117
_cell_length_c 8.4117
_cell_angle_alpha 33.40
_cell_angle_beta 33.40
_cell_angle_gamma 33.40
loop_
_atom_site_label
_atom_site_fract_x
_atom_site_fract_y
_atom_site_fract_z
Tb1 0.1241 0.1241 0.1241
Tb2 0.3746 0.3746 0.3746
Tb3 0.6254 0.6254 0.6254
Tb4 0.8759 0.8759 0.8759
Ir1 0.2503 0.2503 0.2503
Ir2 0.5000 0.5000 0.5000
Ir3 0.7497 0.7497 0.7497
```

Total DFT energy (no corrections) ... -7.232 eV/atom